# PBE Hf2Mg, optimized geometry
data_Hf2Mg
_cell_length_a 5.826
_cell_length_b 5.826
_cell_length_c 5.826
_cell_angle_alpha 60.00
_cell_angle_beta 60.00
_cell_angle_gamma 60.00
_space_group_name_H-M_alt 'P 1'
_space_group_IT_number 1
_space_group_name_Hall 'P 1'
loop_
_atom_site_label
_atom_site_type_symbol
_atom_site_fract_x
_atom_site_fract_y
_atom_site_fract_z
_atom_site_occupancy
Hf1 Hf 0.625 0.125 0.625 1
Mg1 Mg 0.000 0.000 0.000 1
Hf2 Hf 0.625 0.625 0.625 1
Hf3 Hf 0.125 0.625 0.625 1
Hf4 Hf 0.625 0.625 0.125 1
Mg2 Mg 0.250 0.250 0.250 1
# - E_tot: -6.77 eV/atom